# NaU2Te6 PBE-GGA optimized geometry
# Total DFT energy (no corrections)   -5.386 eV/atom
data_NaU2Te6
_chemical_formula_sum 'Na1 U2 Te6'
_cell_length_a 11.813
_cell_length_b 11.813
_cell_length_c 11.813
_cell_angle_alpha 159.43
_cell_angle_beta 149.92
_cell_angle_gamma 36.72
_symmetry_space_group_name_H-M 'P 1'
_symmetry_Int_Tables_number 1
loop_
_symmetry_equiv_pos_as_xyz
'x,y,z'
loop_
_atom_site_label
_atom_site_type_symbol
_atom_site_fract_x
_atom_site_fract_y
_atom_site_fract_z
Na1 Na 0.000 0.000 0.000
U1 U 0.323 0.823 0.500
U2 U 0.677 0.177 0.500
Te1 Te 0.153 0.402 0.751
Te2 Te 0.222 0.222 0.000
Te3 Te 0.349 0.598 0.751
Te4 Te 0.651 0.402 0.249
Te5 Te 0.778 0.778 0.000
Te6 Te 0.847 0.598 0.249